Entry 1:
Density functional theory data (PBEsol) for a geometry-optimized Fe2OsBr structure.

Values from the calculation:
M_tot: 4.9 μB per formula unit
energy above the lowest structure with this stoichiometry: 16 meV per atom
uncorrected formation energy: 0.90 eV/atom
symmetry: P4/mmm (123)

Unit cell a=4.441 b=4.441 c=2.771 alpha=90.00 beta=90.00 gamma=90.00
Sites, in units of the cell vectors:
Fe (0.000, 0.500, 0.000)
Fe (0.500, 0.000, 0.000)
Os (0.000, 0.000, 0.500)
Br (0.500, 0.500, 0.500)


Entry 2:
Density functional theory data (PBEsol) for a geometry-optimized FeOsBr2 structure.

Values from the calculation:
M_tot: 4.2 μB per formula unit
energy above the lowest structure with this stoichiometry: 0 meV per atom
uncorrected formation energy: 0.68 eV/atom
symmetry: P4mm (99)

Unit cell a=3.279 b=3.279 c=7.183 alpha=90.00 beta=90.00 gamma=90.00
Sites, in units of the cell vectors:
Fe (0.000, 0.000, 0.000)
Os (0.500, 0.500, 0.140)
Br (0.000, 0.000, 0.382)
Br (0.500, 0.500, 0.785)


Entry 3:
Density functional theory data (PBEsol) for a geometry-optimized FeOsBr structure.

Values from the calculation:
M_tot: 0.6 μB per formula unit
uncorrected formation energy: 1.60 eV/atom
symmetry: F-43m (216)

Unit cell a=3.975 b=3.975 c=3.975 alpha=60.00 beta=60.00 gamma=60.00
Sites, in units of the cell vectors:
Fe (0.000, 0.000, 0.000)
Os (0.500, 0.500, 0.500)
Br (0.250, 0.250, 0.250)


Entry 4:
Density functional theory data (PBEsol) for a geometry-optimized FeOsBr2 structure.

Values from the calculation:
M_tot: 2.0 μB per formula unit
energy above the lowest structure with this stoichiometry: 572 meV per atom
uncorrected formation energy: 1.25 eV/atom
symmetry: P4/mmm (123)

Unit cell a=3.133 b=3.133 c=6.397 alpha=90.00 beta=90.00 gamma=90.00
Sites, in units of the cell vectors:
Fe (0.000, 0.000, 0.000)
Os (0.000, 0.000, 0.500)
Br (0.500, 0.500, 0.241)
Br (0.500, 0.500, 0.759)


- Among the records above, which one has the highest M_tot?
  Fe2OsBr